1.
Zr2MoBr: optimized geometry, PBE-GGA.

Computed properties:
**Energy above the lowest structure with this stoichiometry**: 482 meV per atom
**D(E_F)**: 1.037 states/eV per atom
**Raw formation energy**: 0.57 eV per formula unit
**Space-group type**: R3m, No. 160

Lattice parameters (Å, degrees): 9.6605 9.6605 9.6605 19.77 19.77 19.77
Last column: nearest neighbours and their distance in Å.
Sites, in units of the cell vectors:
Zr: 0.2477 0.2477 0.2477  3 Br 2.77
Zr: 0.0038 0.0038 0.0038  3 Mo 2.71
Br: 0.5106 0.5106 0.5106  3 Zr 2.77
Mo: 0.7379 0.7379 0.7379  3 Zr 2.71

2.
Cs2RuS: optimized geometry, PBE-GGA.

Computed properties:
**Energy above the lowest structure with this stoichiometry**: 866 meV per atom
**D(E_F)**: 4.545 states/eV per atom
**Raw formation energy**: 3.24 eV per formula unit
**Space-group type**: Fm-3m, No. 225

Lattice parameters (Å, degrees): 5.9262 5.9262 5.9262 60.00 60.00 60.00
Last column: nearest neighbours and their distance in Å.
Sites, in units of the cell vectors:
S: 0.0000 0.0000 0.0000  8 Cs 3.63
Cs: 0.2500 0.2500 0.2500  4 Ru 3.63, 4 S 3.63
Cs: 0.7500 0.7500 0.7500  4 Ru 3.63, 4 S 3.63
Ru: 0.5000 0.5000 0.5000  8 Cs 3.63

3.
AcMnPt2: optimized geometry, PBE-GGA.

Computed properties:
**D(E_F)**: 0.376 states/eV per atom
**Space-group type**: P4/mmm, No. 123
**Energy of formation from the pure elements**: -203 kJ/mol of formula units

Lattice parameters (Å, degrees): 3.4788 3.4788 6.9095 90.00 90.00 90.00
Last column: nearest neighbours and their distance in Å.
Sites, in units of the cell vectors:
Mn: 0.5000 0.5000 0.0000  8 Pt 2.83
Pt: 0.0000 0.0000 0.2013  1 Pt 2.78, 4 Mn 2.83
Pt: 0.0000 0.0000 0.7987  1 Pt 2.78, 4 Mn 2.83
Ac: 0.5000 0.5000 0.5000  8 Pt 3.21, 2 Mn 3.45, 4 Ac 3.48

4.
Li3B8C8: optimized geometry, PBE-GGA.

Computed properties:
**Energy above the lowest structure with this stoichiometry**: 83 meV per atom
**D(E_F)**: 0.254 states/eV per atom
**Space-group type**: P2/m, No. 10
**Energy of formation from the pure elements**: 165 kJ/mol of formula units

Lattice parameters (Å, degrees): 4.5752 5.4425 7.4215 90.00 83.26 90.00
Last column: nearest neighbours and their distance in Å.
Sites, in units of the cell vectors:
Li: 0.5000 0.7500 0.0000  6 B 2.36-2.43, 6 C 2.45-2.46
Li: 0.5000 0.2500 0.5000  6 C 2.37-2.39, 6 B 2.40-2.48
Li: 0.5000 0.7500 0.5000  6 C 2.36-2.40, 6 B 2.38-2.49
C: 0.6588 0.9986 0.7309  3 B 1.55-1.58
C: 0.1515 0.2500 0.7672  3 B 1.54-1.57
C: 0.3412 0.5014 0.2691  3 B 1.55-1.58
C: 0.1547 0.7500 0.7699  3 B 1.54-1.58
C: 0.3412 0.9986 0.2691  3 B 1.55-1.58
C: 0.8453 0.7500 0.2301  3 B 1.54-1.58
C: 0.8485 0.2500 0.2328  3 B 1.54-1.57
C: 0.6588 0.5014 0.7309  3 B 1.55-1.58
B: 0.8242 0.7500 0.7282  3 C 1.55-1.58
B: 0.3109 0.0016 0.7684  3 C 1.54-1.58
B: 0.1758 0.7500 0.2718  3 C 1.55-1.58
B: 0.3109 0.4984 0.7684  3 C 1.54-1.58
B: 0.6891 0.0016 0.2316  3 C 1.54-1.58
B: 0.6891 0.4984 0.2316  3 C 1.54-1.58
B: 0.1825 0.2500 0.2640  3 C 1.55-1.57
B: 0.8175 0.2500 0.7360  3 C 1.55-1.57